1.
VASP calculation (GGA-PBE) on Li2AlInAg4 after structural relaxation.

a b c (Å): 4.5017 4.5017 6.7327
angles (deg): 90.00 90.00 90.00
With the nearest neighbours (Å) after each atom.
Element x y z (fractional)
Ag  0.0000  0.5000  0.7705  4 Li 2.73-2.90, 2 Al 2.73, 2 In 2.90
Ag  0.5000  0.0000  0.7705  4 Li 2.73-2.90, 2 Al 2.73, 2 In 2.90
Ag  0.5000  0.0000  0.2295  4 Li 2.73-2.90, 2 Al 2.73, 2 In 2.90
Ag  0.0000  0.5000  0.2295  4 Li 2.73-2.90, 2 Al 2.73, 2 In 2.90
In  0.0000  0.0000  0.5000  8 Ag 2.90, 4 Li 3.18
Li  0.5000  0.5000  0.5000  8 Ag 2.90, 4 In 3.18
Li  0.0000  0.0000  0.0000  8 Ag 2.73
Al  0.5000  0.5000  0.0000  8 Ag 2.73

Properties
SG: P4/mmm (123)
Energy, eV per cell: -23.520

---

2.
VASP calculation (GGA-PBE) on Tm15S22 after structural relaxation.

a b c (Å): 19.3661 19.3661 11.1613
angles (deg): 90.91 90.91 11.39
With the nearest neighbours (Å) after each atom.
Element x y z (fractional)
S  0.4931  0.4931  0.7608  4 Tm 2.67-2.70
S  0.2204  0.2204  0.4066  4 Tm 2.67-2.72
S  0.6860  0.6860  0.6923  5 Tm 2.72-2.86
S  0.9067  0.9067  0.7942  5 Tm 2.69-2.95
S  0.0489  0.0489  0.9701  5 Tm 2.71-2.93
S  0.3140  0.3140  0.3077  5 Tm 2.72-2.86
S  0.4096  0.4096  0.2460  5 Tm 2.74-2.91
S  0.0933  0.0933  0.2058  5 Tm 2.69-2.95
S  0.6667  0.6667  0.1493  4 Tm 2.63-2.81
S  0.6338  0.6338  0.4618  5 Tm 2.75-2.91
S  0.5069  0.5069  0.2392  4 Tm 2.67-2.70
S  0.9468  0.9468  0.4971  3 Tm 2.58-2.60
S  0.3333  0.3333  0.8507  4 Tm 2.63-2.81
S  0.5904  0.5904  0.7540  5 Tm 2.74-2.91
S  0.7796  0.7796  0.5934  4 Tm 2.67-2.72
S  0.0532  0.0532  0.5029  3 Tm 2.58-2.60
S  0.7550  0.7550  0.1212  4 Tm 2.62-2.84
S  0.1476  0.1476  0.9072  5 Tm 2.78-2.86
S  0.9511  0.9511  0.0299  5 Tm 2.71-2.93
S  0.3662  0.3662  0.5382  5 Tm 2.75-2.91
S  0.8524  0.8524  0.0928  5 Tm 2.78-2.86
S  0.2450  0.2450  0.8788  4 Tm 2.62-2.84
Tm  0.5689  0.5689  0.3563  6 S 2.60-2.75
Tm  0.7660  0.7660  0.3538  6 S 2.62-2.72
Tm  0.1332  0.1332  0.6574  7 S 2.76-2.91
Tm  0.1572  0.1572  0.3060  6 S 2.63-2.75
Tm  0.7015  0.7015  0.9438  7 S 2.66-2.86
Tm  0.4311  0.4311  0.6437  6 S 2.60-2.75
Tm  0.0400  0.0400  0.7289  6 S 2.58-2.74
Tm  0.8428  0.8428  0.6940  6 S 2.63-2.75
Tm  0.9600  0.9600  0.2711  6 S 2.58-2.74
Tm  0.3947  0.3947  0.9893  8 S 2.78-2.95
Tm  0.2340  0.2340  0.6462  6 S 2.62-2.72
Tm  0.5000  0.5000  0.0000  6 S 2.68-2.72
Tm  0.6053  0.6053  0.0107  8 S 2.78-2.95
Tm  0.2985  0.2985  0.0562  7 S 2.66-2.86
Tm  0.8668  0.8668  0.3426  7 S 2.76-2.91

Properties
SG: C2/m (12)
Energy, eV per cell: -234.072

---

3.
VASP calculation (GGA-PBE) on MgFeBPd after structural relaxation.

a b c (Å): 4.0242 4.0242 4.0242
angles (deg): 60.00 60.00 60.00
With the nearest neighbours (Å) after each atom.
Element x y z (fractional)
Fe  0.7500  0.7500  0.7500  4 Mg 2.46, 4 B 2.46
Mg  0.5000  0.5000  0.5000  4 Fe 2.46, 4 Pd 2.46
B  0.0000  0.0000  0.0000  4 Fe 2.46, 4 Pd 2.46
Pd  0.2500  0.2500  0.2500  4 Mg 2.46, 4 B 2.46

Properties
SG: F-43m (216)
Energy above the lowest structure with this stoichiometry, eV/atom: 0.000

---

4.
VASP calculation (GGA-PBE) on InReAuSeS2 after structural relaxation.

a b c (Å): 8.2106 8.2106 9.6574
angles (deg): 90.00 90.00 157.06
With the nearest neighbours (Å) after each atom.
Element x y z (fractional)
Se  0.0358  0.9642  0.2500  2 Re 2.48
Se  0.9642  0.0358  0.7500  2 Re 2.48
S  0.3905  0.6095  0.4775  2 Re 2.41, 1 Au 2.46
S  0.6095  0.3905  0.9775  2 Re 2.41, 1 Au 2.46
S  0.6095  0.3905  0.5225  2 Re 2.41, 1 Au 2.46
S  0.3905  0.6095  0.0225  2 Re 2.41, 1 Au 2.46
Au  0.3214  0.6786  0.2500  2 S 2.46
Au  0.6786  0.3214  0.7500  2 S 2.46
In  0.6813  0.3187  0.2500  2 Au 2.78, 2 Se 2.86, 2 S 2.87
In  0.3187  0.6813  0.7500  2 Au 2.78, 2 Se 2.86, 2 S 2.87
Re  0.0000  0.0000  0.5000  4 S 2.41, 2 Se 2.48
Re  0.0000  0.0000  0.0000  4 S 2.41, 2 Se 2.48

Properties
SG: Cmcm (63)
Energy, eV per cell: -62.081

---

5.
VASP calculation (GGA-PBE) on NaNbAuS3 after structural relaxation.

a b c (Å): 7.1161 7.1161 9.7792
angles (deg): 90.00 90.00 151.40
With the nearest neighbours (Å) after each atom.
Element x y z (fractional)
S  0.3685  0.6315  0.5230  1 Au 2.36, 2 Nb 2.54
S  0.0755  0.9245  0.7500  2 Nb 2.66, 2 Au 2.70, 2 Na 2.88
S  0.6315  0.3685  0.0230  1 Au 2.36, 2 Nb 2.54
S  0.3685  0.6315  0.9770  1 Au 2.36, 2 Nb 2.54
S  0.9245  0.0755  0.2500  2 Nb 2.66, 2 Au 2.70, 2 Na 2.88
S  0.6315  0.3685  0.4770  1 Au 2.36, 2 Nb 2.54
Na  0.2587  0.7413  0.2500  4 S 2.88-3.07, 2 Au 3.10
Na  0.7413  0.2587  0.7500  4 S 2.88-3.07, 2 Au 3.10
Nb  0.0000  0.0000  0.5000  6 S 2.54-2.66
Nb  0.0000  0.0000  0.0000  6 S 2.54-2.66
Au  0.5733  0.4267  0.2500  2 S 2.36
Au  0.4267  0.5733  0.7500  2 S 2.36

Properties
SG: Cmcm (63)
Energy, eV per cell: -61.647

---

6.
VASP calculation (GGA-PBE) on KSb5Pt3 after structural relaxation.

a b c (Å): 5.7742 5.7742 8.8268
angles (deg): 90.00 90.00 120.00
With the nearest neighbours (Å) after each atom.
Element x y z (fractional)
Sb  0.0000  0.0000  0.5000  6 Pt 2.89
Sb  0.6667  0.3333  0.2460  3 Pt 2.79
Sb  0.3333  0.6667  0.2460  3 Pt 2.79
Sb  0.3333  0.6667  0.7540  3 Pt 2.79
Sb  0.6667  0.3333  0.7540  3 Pt 2.79
Pt  0.5000  0.0000  0.5000  6 Sb 2.79-2.89, 4 Pt 2.89
Pt  0.5000  0.5000  0.5000  6 Sb 2.79-2.89, 4 Pt 2.89
Pt  0.0000  0.5000  0.5000  6 Sb 2.79-2.89, 4 Pt 2.89
K  0.0000  0.0000  0.0000  14 Sb 3.98-4.41

Properties
SG: P6/mmm (191)
Energy, eV per cell: -41.890

---

7.
VASP calculation (GGA-PBE) on LuCdInFe after structural relaxation.

a b c (Å): 4.8596 4.8596 4.8596
angles (deg): 60.00 60.00 60.00
With the nearest neighbours (Å) after each atom.
Element x y z (fractional)
Cd  0.5000  0.5000  0.5000  4 Fe 2.98, 4 Lu 2.98
In  0.0000  0.0000  0.0000  4 Fe 2.98, 4 Lu 2.98
Lu  0.2500  0.2500  0.2500  4 Cd 2.98, 4 In 2.98
Fe  0.7500  0.7500  0.7500  4 Cd 2.98, 4 In 2.98

Properties
SG: F-43m (216)
Energy above the lowest structure with this stoichiometry, eV/atom: 0.000

---

8.
VASP calculation (GGA-PBE) on KPrPS5 after structural relaxation.

a b c (Å): 9.9919 9.9919 5.7842
angles (deg): 94.87 94.87 52.14
With the nearest neighbours (Å) after each atom.
Element x y z (fractional)
P  0.6434  0.6434  0.2978  4 S 1.99-2.11
P  0.3566  0.3566  0.7022  4 S 1.99-2.11
S  0.2452  0.2452  0.6837  1 P 1.99
S  0.7904  0.4036  0.1442  1 P 2.06
S  0.4036  0.7904  0.1442  1 P 2.06
S  0.3958  0.3958  0.3695  1 P 2.11
S  0.0224  0.0224  0.8361  1 S 2.13
S  0.7548  0.7548  0.3163  1 P 1.99
S  0.6042  0.6042  0.6305  1 P 2.11
S  0.9776  0.9776  0.1639  1 S 2.13
S  0.5964  0.2096  0.8558  1 P 2.06
S  0.2096  0.5964  0.8558  1 P 2.06
K  0.1981  0.1981  0.1689  4 S 3.01-3.24
K  0.8019  0.8019  0.8311  4 S 3.01-3.24
Pr  0.7421  0.2579  0.5000  6 S 2.85-2.99
Pr  0.2579  0.7421  0.5000  6 S 2.85-2.99

Properties
SG: C2/m (12)
Energy, eV per cell: -79.633

---

9.
VASP calculation (GGA-PBE) on UInNi after structural relaxation.

a b c (Å): 4.7385 4.7385 4.7385
angles (deg): 60.00 60.00 60.00
With the nearest neighbours (Å) after each atom.
Element x y z (fractional)
Ni  0.7500  0.7500  0.7500  4 U 2.90
U  0.0000  0.0000  0.0000  4 In 2.90, 4 Ni 2.90
In  0.2500  0.2500  0.2500  4 U 2.90

Properties
SG: F-43m (216)
Energy, eV per cell: -15.589